*1*
Ho3Tm2Sc2 | PBE | relaxed

Geometry as CIF:
```
data_Ho3Tm2Sc2
_chemical_formula_sum 'Ho3 Tm2 Sc2'
_cell_length_a 11.8246
_cell_length_b 11.8246
_cell_length_c 3.4142
_cell_angle_alpha 90.00
_cell_angle_beta 90.00
_cell_angle_gamma 154.87
_space_group_name_H-M_alt 'P 1'
_space_group_IT_number 1
_space_group_name_Hall 'P 1'
loop_
_atom_site_label
_atom_site_type_symbol
_atom_site_fract_x
_atom_site_fract_y
_atom_site_fract_z
Ho1 Ho 0.0000 0.0000 0.0000
Ho2 Ho 0.1557 0.8443 0.0000
Ho3 Ho 0.8443 0.1557 0.0000
Tm1 Tm 0.4254 0.5746 0.5000
Tm2 Tm 0.5746 0.4254 0.5000
Sc1 Sc 0.2841 0.7159 0.5000
Sc2 Sc 0.7159 0.2841 0.5000
```

Output
- Space-group type: Cmmm

*2*
Ho3Tm2Sc2 | PBE | relaxed

Geometry as CIF:
```
data_Ho3Tm2Sc2
_chemical_formula_sum 'Ho3 Tm2 Sc2'
_cell_length_a 7.6822
_cell_length_b 7.6822
_cell_length_c 8.4030
_cell_angle_alpha 111.17
_cell_angle_beta 111.17
_cell_angle_gamma 25.90
_space_group_name_H-M_alt 'P 1'
_space_group_IT_number 1
_space_group_name_Hall 'P 1'
loop_
_atom_site_label
_atom_site_type_symbol
_atom_site_fract_x
_atom_site_fract_y
_atom_site_fract_z
Ho1 Ho 0.0000 0.0000 0.0000
Ho2 Ho 0.2856 0.2856 0.8513
Ho3 Ho 0.7144 0.7144 0.1487
Tm1 Tm 0.4305 0.4305 0.2917
Tm2 Tm 0.5695 0.5695 0.7083
Sc1 Sc 0.1456 0.1456 0.4317
Sc2 Sc 0.8544 0.8544 0.5683
```

Output
- Space-group type: C2/m

Q: Which of them is the least stable? A: *2*.

*1*
Ho3TmSc3 | PBE | relaxed

Geometry as CIF:
```
data_Ho3TmSc3
_chemical_formula_sum 'Ho6 Tm2 Sc6'
_cell_length_a 13.9994
_cell_length_b 13.9994
_cell_length_c 13.9994
_cell_angle_alpha 24.36
_cell_angle_beta 24.36
_cell_angle_gamma 24.36
_space_group_name_H-M_alt 'P 1'
_space_group_IT_number 1
_space_group_name_Hall 'P 1'
loop_
_atom_site_label
_atom_site_type_symbol
_atom_site_fract_x
_atom_site_fract_y
_atom_site_fract_z
Ho1 Ho 0.0967 0.4306 0.7643
Ho2 Ho 0.2357 0.9033 0.5694
Ho3 Ho 0.4306 0.7643 0.0967
Ho4 Ho 0.5694 0.2357 0.9033
Ho5 Ho 0.7643 0.0967 0.4306
Ho6 Ho 0.9033 0.5694 0.2357
Tm1 Tm 0.1667 0.1667 0.1667
Tm2 Tm 0.8333 0.8333 0.8333
Sc1 Sc 0.0322 0.6970 0.3642
Sc2 Sc 0.3030 0.6358 0.9678
Sc3 Sc 0.3642 0.0322 0.6970
Sc4 Sc 0.6358 0.9678 0.3030
Sc5 Sc 0.6970 0.3642 0.0322
Sc6 Sc 0.9678 0.3030 0.6358
```

Output
- Space-group type: R-3

*2*
Ho3TmSc3 | PBE | relaxed

Geometry as CIF:
```
data_Ho3TmSc3
_chemical_formula_sum 'Ho6 Tm2 Sc6'
_cell_length_a 9.1810
_cell_length_b 9.1810
_cell_length_c 5.4167
_cell_angle_alpha 90.00
_cell_angle_beta 90.00
_cell_angle_gamma 120.00
_space_group_name_H-M_alt 'P 1'
_space_group_IT_number 1
_space_group_name_Hall 'P 1'
loop_
_atom_site_label
_atom_site_type_symbol
_atom_site_fract_x
_atom_site_fract_y
_atom_site_fract_z
Ho1 Ho 0.0472 0.8026 0.2500
Ho2 Ho 0.1974 0.2446 0.2500
Ho3 Ho 0.2446 0.0472 0.7500
Ho4 Ho 0.7554 0.9528 0.2500
Ho5 Ho 0.8026 0.7554 0.7500
Ho6 Ho 0.9528 0.1974 0.7500
Tm1 Tm 0.3333 0.6667 0.2500
Tm2 Tm 0.6667 0.3333 0.7500
Sc1 Sc 0.0956 0.6147 0.7500
Sc2 Sc 0.3853 0.4809 0.7500
Sc3 Sc 0.4809 0.0956 0.2500
Sc4 Sc 0.5191 0.9044 0.7500
Sc5 Sc 0.6147 0.5191 0.2500
Sc6 Sc 0.9044 0.3853 0.2500
```

Output
- Space-group type: P6_3/m

Q: Which of them is the least stable? A: *1*.

*1*
HoTmSc2 | PBE | relaxed

Geometry as CIF:
```
data_HoTmSc2
_chemical_formula_sum 'Ho1 Tm1 Sc2'
_cell_length_a 11.0027
_cell_length_b 11.0027
_cell_length_c 11.0027
_cell_angle_alpha 17.90
_cell_angle_beta 17.90
_cell_angle_gamma 17.90
_space_group_name_H-M_alt 'P 1'
_space_group_IT_number 1
_space_group_name_Hall 'P 1'
loop_
_atom_site_label
_atom_site_type_symbol
_atom_site_fract_x
_atom_site_fract_y
_atom_site_fract_z
Ho1 Ho 0.0000 0.0000 0.0000
Tm1 Tm 0.1658 0.1658 0.1658
Sc1 Sc 0.5828 0.5828 0.5828
Sc2 Sc 0.7495 0.7495 0.7495
```

Output
- Space-group type: R3m

*2*
HoTmSc2 | PBE | relaxed

Geometry as CIF:
```
data_HoTmSc2
_chemical_formula_sum 'Ho1 Tm1 Sc2'
_cell_length_a 5.3766
_cell_length_b 5.3766
_cell_length_c 5.3766
_cell_angle_alpha 60.00
_cell_angle_beta 60.00
_cell_angle_gamma 60.00
_space_group_name_H-M_alt 'P 1'
_space_group_IT_number 1
_space_group_name_Hall 'P 1'
loop_
_atom_site_label
_atom_site_type_symbol
_atom_site_fract_x
_atom_site_fract_y
_atom_site_fract_z
Ho1 Ho 0.0000 0.0000 0.0000
Tm1 Tm 0.5000 0.5000 0.5000
Sc1 Sc 0.2500 0.2500 0.2500
Sc2 Sc 0.7500 0.7500 0.7500
```

Output
- Space-group type: Fm-3m

*3*
HoTmSc2 | PBE | relaxed

Geometry as CIF:
```
data_HoTmSc2
_chemical_formula_sum 'Ho1 Tm1 Sc2'
_cell_length_a 4.8299
_cell_length_b 4.8299
_cell_length_c 4.6972
_cell_angle_alpha 90.00
_cell_angle_beta 90.00
_cell_angle_gamma 90.00
_space_group_name_H-M_alt 'P 1'
_space_group_IT_number 1
_space_group_name_Hall 'P 1'
loop_
_atom_site_label
_atom_site_type_symbol
_atom_site_fract_x
_atom_site_fract_y
_atom_site_fract_z
Ho1 Ho 0.0000 0.0000 0.0000
Tm1 Tm 0.5000 0.5000 0.0000
Sc1 Sc 0.0000 0.5000 0.5000
Sc2 Sc 0.5000 0.0000 0.5000
```

Output
- Space-group type: P4/mmm

Q: Which of them is the least stable? A: *2*.